# 1
# Ni2O3

A relaxed structure of Ni2O3 (PBE with a Hubbard U, Alexandria).

```
Ni2O3
1.0
-2.0227 -4.3381 -3.0956
2.4738 -5.1273 0.2898
-2.8691 -4.4284 2.7783
O Ni
6 4
direct
0.8481 0.8990 0.1353 O
0.0720 0.2925 0.1163 O
0.8990 0.8481 0.6353 O
0.6863 0.4567 0.6163 O
0.4567 0.6863 0.1163 O
0.2925 0.0720 0.6163 O
0.1770 0.9956 0.9931 Ni
0.6681 0.8214 0.5140 Ni
0.9956 0.1770 0.4931 Ni
0.8214 0.6681 0.0140 Ni
```

Summary:
The value obtained for the total energy is -4.40 eV per atom. The symmetry is Cc, No. 9.

***

# 2
# Ni9O10

A relaxed structure of Ni9O10 (PBE with a Hubbard U, Alexandria).

```
Ni9O10
1.0
5.1216 0.0008 0.0139
-1.7197 5.6633 0.0078
-0.9007 -1.8162 6.3214
Ni O
9 10
direct
0.6131 0.2068 0.1985 Ni
0.2006 0.4019 0.3909 Ni
0.8033 0.1069 0.6073 Ni
0.0000 0.0000 0.0000 Ni
0.5961 0.6952 0.1934 Ni
0.1967 0.8931 0.3927 Ni
0.7994 0.5981 0.6091 Ni
0.3869 0.7932 0.8015 Ni
0.4039 0.3048 0.8066 Ni
0.1083 0.4462 0.6803 O
0.9013 0.0495 0.2997 O
0.3208 0.8766 0.1100 O
0.5003 0.7521 0.4949 O
0.6796 0.6590 0.8947 O
0.3204 0.3410 0.1053 O
0.4997 0.2479 0.5051 O
0.6792 0.1234 0.8900 O
0.0987 0.9505 0.7003 O
0.8917 0.5538 0.3197 O
```

Summary:
The value obtained for the total energy is -4.78 eV per atom. Its density of states at the Fermi level is 7.9 states/eV per cell. The symmetry is P-1, No. 2.

***

# 3
# Ni5O4

A relaxed structure of Ni5O4 (PBE with a Hubbard U, Alexandria).

```
Ni5O4
1.0
-4.5335 0.4941 -0.2979
-0.1800 -3.4531 -2.9881
-0.5481 -2.9524 3.4450
Ni O
5 4
direct
0.2828 0.2828 0.7172 Ni
0.7172 0.7172 0.7172 Ni
0.0000 0.0000 0.0000 Ni
0.2828 0.7172 0.2828 Ni
0.7172 0.2828 0.2828 Ni
0.2716 0.7284 0.7284 O
0.2716 0.2716 0.2716 O
0.7284 0.2716 0.7284 O
0.7284 0.7284 0.2716 O
```

Summary:
For the offset from the most stable computed form, the calculation gives 0.452 eV per atom. Its density of states at the Fermi level is 3.2 states/eV per cell. The symmetry is P-43m, No. 215.

***

# 4
# Ni5O6

A relaxed structure of Ni5O6 (PBE with a Hubbard U, Alexandria).

```
Ni5O6
1.0
5.0951 -0.0378 0.0308
-2.4805 4.4507 0.0308
-0.9059 -1.5289 4.7709
Ni O
5 6
direct
0.0000 0.0000 0.5000 Ni
0.3392 0.6608 0.5000 Ni
0.6608 0.3392 0.5000 Ni
0.1689 0.8311 0.0000 Ni
0.8311 0.1689 0.0000 Ni
0.4094 0.0525 0.7392 O
0.2321 0.2321 0.2678 O
0.9475 0.5906 0.2608 O
0.5906 0.9475 0.2608 O
0.7679 0.7679 0.7322 O
0.0525 0.4094 0.7392 O
```

Summary:
The value obtained for the total energy is -4.77 eV per atom. Its density of states at the Fermi level is 4.4 states/eV per cell. The symmetry is C2/m, No. 12.

***

# 5
# NiO3

A relaxed structure of NiO3 (PBE with a Hubbard U, Alexandria).

```
NiO3
1.0
4.0491 -0.5589 0.0000
-2.0958 3.5093 0.0000
0.0000 0.0000 3.7161
O Ni
3 1
direct
0.0000 0.0000 0.5000 O
0.0000 0.5000 0.0000 O
0.5000 0.0000 0.0000 O
0.0000 0.0000 0.0000 Ni
```

Summary:
The value obtained for the total energy is -3.94 eV per atom. Its density of states at the Fermi level is 2.4 states/eV per cell. The symmetry is Cmmm, No. 65.

***

# 6
# NiO8

A relaxed structure of NiO8 (PBE with a Hubbard U, Alexandria).

```
NiO8
1.0
4.1435 0.0000 1.0797
2.0718 5.6432 0.5398
0.6489 0.0000 6.0007
Ni O
1 8
direct
0.0000 0.0000 0.0000 Ni
0.3906 0.0000 0.2187 O
0.6094 0.0000 0.7813 O
0.6094 0.7813 0.0000 O
0.0000 0.5774 0.4226 O
0.5774 0.4226 0.4226 O
0.4226 0.5774 0.5774 O
0.3906 0.2187 0.0000 O
0.0000 0.4226 0.5774 O
```

Summary:
The value obtained for the total energy is -3.83 eV per atom. Its density of states at the Fermi level is 8.0 states/eV per cell. The symmetry is I4/mmm, No. 139.

***

# 7
# Ni5O11

A relaxed structure of Ni5O11 (PBE with a Hubbard U, Alexandria).

```
Ni5O11
1.0
-1.8664 0.5630 -4.4895
1.3456 -6.6147 0.8659
-5.5305 1.6704 2.9914
Ni O
5 11
direct
0.0000 0.5000 0.5000 Ni
0.4052 0.2964 0.3012 Ni
0.7986 0.0945 0.0976 Ni
0.2014 0.9055 0.9024 Ni
0.5948 0.7036 0.6988 Ni
0.3630 0.5801 0.4094 O
0.0406 0.1851 0.3759 O
0.6370 0.4199 0.5906 O
0.8355 0.8114 0.9830 O
0.7626 0.3798 0.2110 O
0.5601 0.9913 0.8141 O
0.4399 0.0087 0.1859 O
0.0000 0.0000 0.5000 O
0.1645 0.1886 0.0170 O
0.2374 0.6202 0.7890 O
0.9594 0.8149 0.6241 O
```

Summary:
The value obtained for the total energy is -4.45 eV per atom. Its density of states at the Fermi level is 0.3 states/eV per cell. The symmetry is P-1, No. 2.

***

# 8
# Ni2O3

A relaxed structure of Ni2O3 (PBE with a Hubbard U, Alexandria).

```
Ni2O3
1.0
1.4455 -4.9085 0.0000
1.4455 4.9085 0.0000
0.0000 0.0000 14.2862
O Ni
12 8
direct
0.2806 0.7194 0.0787 O
0.0000 0.0000 0.5000 O
0.7194 0.2806 0.5787 O
0.5228 0.4772 0.3373 O
0.5228 0.4772 0.1627 O
0.4772 0.5228 0.8373 O
0.0000 0.0000 0.0000 O
0.2806 0.7194 0.4213 O
0.7194 0.2806 0.9213 O
0.8086 0.1914 0.2500 O
0.1914 0.8086 0.7500 O
0.4772 0.5228 0.6627 O
0.0996 0.9004 0.8641 Ni
0.0996 0.9004 0.6359 Ni
0.3653 0.6347 0.9499 Ni
0.3653 0.6347 0.5501 Ni
0.9004 0.0996 0.3641 Ni
0.6347 0.3653 0.0501 Ni
0.6347 0.3653 0.4499 Ni
0.9004 0.0996 0.1359 Ni
```

Summary:
The value obtained for the total energy is -4.54 eV per atom. Its density of states at the Fermi level is 7.0 states/eV per cell. The symmetry is Cmcm, No. 63.

***

# 9
# Ni2O5

A relaxed structure of Ni2O5 (PBE with a Hubbard U, Alexandria).

```
Ni2O5
1.0
-0.3111 -4.8473 3.6215
3.1751 -5.1348 0.5109
3.6195 1.3493 3.9319
O Ni
10 4
direct
0.4255 0.4557 0.0121 O
0.9887 0.0113 0.7500 O
0.5443 0.5745 0.4879 O
0.4557 0.4255 0.5121 O
0.0113 0.9887 0.2500 O
0.7413 0.8236 0.1053 O
0.8236 0.7413 0.6053 O
0.2586 0.1764 0.8947 O
0.5745 0.5443 0.9879 O
0.1764 0.2586 0.3947 O
0.0832 0.6336 0.3007 Ni
0.9168 0.3664 0.6993 Ni
0.6336 0.0832 0.8007 Ni
0.3664 0.9168 0.1993 Ni
```

Summary:
The value obtained for the total energy is -4.48 eV per atom. Its density of states at the Fermi level is 6.8 states/eV per cell. The symmetry is C2/c, No. 15.

***

# 10
# Ni5O4

A relaxed structure of Ni5O4 (PBE with a Hubbard U, Alexandria).

```
Ni5O4
1.0
2.8902 -3.8073 1.8036
-1.0674 4.6548 1.8153
-4.6089 -2.1562 0.4588
Ni O
5 4
direct
0.2073 0.4034 0.6107 Ni
0.7927 0.5966 0.3893 Ni
0.5966 0.2073 0.8039 Ni
0.4034 0.7927 0.1961 Ni
0.0000 0.0000 0.0000 Ni
0.8964 0.3028 0.1993 O
0.3028 0.1036 0.4064 O
0.1036 0.6972 0.8007 O
0.6972 0.8964 0.5936 O
```

Summary:
For the offset from the most stable computed form, the calculation gives 0.000 eV per atom. Its density of states at the Fermi level is 0.3 states/eV per cell. The symmetry is I4/m, No. 87.

***

# 11
# Ni4O

A relaxed structure of Ni4O (PBE with a Hubbard U, Alexandria).

```
Ni4O
1.0
-2.5229 2.6211 1.2152
-1.5691 -2.5978 2.3455
2.4259 1.0457 2.7810
O Ni
1 4
direct
0.5000 0.5000 0.5000 O
0.0000 0.5000 0.5000 Ni
0.5000 0.0000 0.5000 Ni
0.5000 0.5000 0.0000 Ni
0.0000 0.0000 0.0000 Ni
```

Summary:
The value obtained for the total energy is -2.48 eV per atom. Its density of states at the Fermi level is 3.5 states/eV per cell. The symmetry is Pm-3m, No. 221.

***

# 12
# Ni2OsO

A relaxed structure of Ni2OsO (PBE with a Hubbard U, Alexandria).

```
Ni2OsO
1.0
5.7930 0.0000 0.0000
0.0000 5.7930 0.0000
2.8965 2.8965 2.7086
Ni Os O
4 2 2
direct
0.8750 0.7828 0.7500 Ni
0.3750 0.4672 0.7500 Ni
0.5328 0.1250 0.2500 Ni
0.2172 0.6250 0.2500 Ni
0.0000 0.0000 0.0000 Os
0.7500 0.2500 0.5000 Os
0.5000 0.5000 0.0000 O
0.2500 0.7500 0.5000 O
```

Summary:
The value obtained for the total energy is -4.23 eV per atom. Its density of states at the Fermi level is 5.1 states/eV per cell. The symmetry is I-42d, No. 122.